A relaxed structure of Mn3NbTl3Se8. Source: Alexandria, functional PBE-GGA.

Cell: 13.093 7.586 8.826 Å, 90.00 119.69 90.00°
Space group C2/m (No. 12)
Unique sites:
Mn 0.000 0.000 0.000 (multiplicity 2)
Mn 0.250 0.250 0.000 (multiplicity 4)
Nb 0.000 0.500 0.000 (multiplicity 2)
Tl 0.000 0.500 0.500 (multiplicity 2)
Tl 0.250 0.250 0.500 (multiplicity 4)
Se 0.021 0.249 0.809 (multiplicity 8)
Se 0.226 0.000 0.179 (multiplicity 4)
Se 0.231 0.500 0.191 (multiplicity 4)

Magnetic moment = 26.07 Bohr magnetons per cell
Formation energy (no corrections) = -0.49 eV per atom
DFT total energy = -5.3273 eV/atom